DFT (PBE) results for an optimized crystal structure of CaMg4Cu.

Cell and atoms, written as POSCAR:
```
CaMg4Cu
1.0
-0.3855 1.6980 3.8657
-7.0680 2.1445 -1.6468
-3.0201 -7.6160 3.0442
Mg Ca Cu
8 2 2
direct
0.5000 0.6995 0.5636 Mg
0.5000 0.0498 0.7500 Mg
0.5000 0.3005 0.0636 Mg
0.5000 0.3005 0.4364 Mg
0.0000 0.0000 0.0000 Mg
0.5000 0.9502 0.2500 Mg
0.5000 0.6995 0.9364 Mg
0.0000 0.0000 0.5000 Mg
0.0000 0.4038 0.7500 Ca
0.0000 0.5962 0.2500 Ca
0.0000 0.1955 0.2500 Cu
0.0000 0.8045 0.7500 Cu
```

Output
- Energy of formation: -0.100 eV/atom
- Symmetry: Pmma (51)